Record 1
# HoPuPSe

A relaxed structure of HoPuPSe (PBE-GGA, the Alexandria database).

density	9.14	Mg/m³
raw total energy	-34.14	eV for the cell shown
size of the total moment	5.497	μB per cell
ΔE_f (raw)	-1583	meV per atom
density of states at the Fermi level	9.156	states/eV/cell

abc: 4.048 4.048 7.042
angles: 73.30 73.30 60.00
Element x y z (fractional)
Ho 0.699 0.699 0.902
Pu 0.189 0.189 0.434
P 0.443 0.443 0.670
Se 0.945 0.945 0.165


Record 2
# ZrPbI2

A relaxed structure of ZrPbI2 (PBE-GGA, the Alexandria database).

density	5.78	Mg/m³
offset from the most stable computed form	0	meV/atom
raw total energy	-31.61	eV for the cell shown
size of the total moment	0.000	μB per cell
ΔE_f (raw)	-113	meV per atom
density of states at the Fermi level	8.806	states/eV/cell

abc: 10.344 10.344 7.892
angles: 49.05 49.05 90.00
Element x y z (fractional)
Pb 0.000 0.000 0.000
Pb 0.750 0.250 0.500
I 0.483 0.125 0.250
I 0.267 0.625 0.250
I 0.375 0.517 0.750
I 0.875 0.733 0.750
Zr 0.500 0.500 0.000
Zr 0.250 0.750 0.500


Record 3
# BaPuWN4

A relaxed structure of BaPuWN4 (PBE-GGA, the Alexandria database).

density	7.93	Mg/m³
raw total energy	-136.11	eV for the cell shown
size of the total moment	8.000	μB per cell
ΔE_f (raw)	-792	meV per atom
density of states at the Fermi level	13.891	states/eV/cell

abc: 6.062 6.002 7.499
angles: 90.00 107.50 90.00
Element x y z (fractional)
Ba 0.710 0.750 0.929
Ba 0.290 0.250 0.071
Pu 0.804 0.750 0.458
Pu 0.196 0.250 0.542
W 0.261 0.750 0.337
W 0.739 0.250 0.663
N 0.949 0.491 0.683
N 0.051 0.991 0.317
N 0.051 0.509 0.317
N 0.949 0.009 0.683
N 0.454 0.750 0.182
N 0.546 0.250 0.818
N 0.484 0.750 0.567
N 0.516 0.250 0.433


Record 4
# NaZnPd2

A relaxed structure of NaZnPd2 (PBE-GGA, the Alexandria database).

density	7.53	Mg/m³
raw total energy	-13.89	eV for the cell shown
size of the total moment	0.000	μB per cell
density of states at the Fermi level	1.864	states/eV/cell

abc: 2.942 2.942 9.023
angles: 80.62 80.62 60.00
Element x y z (fractional)
Na 0.500 0.500 0.500
Zn 0.667 0.667 0.000
Pd 0.074 0.074 0.778
Pd 0.259 0.259 0.222


Record 5
# Tb2TmHg4

A relaxed structure of Tb2TmHg4 (PBE-GGA, the Alexandria database).

density	11.03	Mg/m³
offset from the most stable computed form	0	meV/atom
raw total energy	-17.34	eV for the cell shown
size of the total moment	0.000	μB per cell
density of states at the Fermi level	4.853	states/eV/cell

abc: 5.073 5.073 9.186
angles: 73.97 73.97 60.00
Element x y z (fractional)
Tb 0.755 0.755 0.734
Tb 0.245 0.245 0.266
Tm 0.000 0.000 0.000
Hg 0.873 0.873 0.380
Hg 0.127 0.127 0.620
Hg 0.627 0.627 0.119
Hg 0.373 0.373 0.881


Record 6
# Er7Al2Au2

A relaxed structure of Er7Al2Au2 (PBE-GGA, the Alexandria database).

density	8.75	Mg/m³
raw total energy	-48.72	eV for the cell shown
size of the total moment	0.000	μB per cell
density of states at the Fermi level	11.536	states/eV/cell

abc: 6.720 7.161 6.720
angles: 90.00 108.20 90.00
Element x y z (fractional)
Er 0.000 0.272 0.500
Er 0.500 0.728 0.000
Er 0.000 0.728 0.500
Er 0.500 0.272 0.000
Er 0.000 0.000 0.000
Er 0.500 0.739 0.500
Er 0.500 0.261 0.500
Al 0.832 0.500 0.832
Al 0.168 0.500 0.168
Au 0.708 0.000 0.292
Au 0.292 0.000 0.708


Which value of density of states at the Fermi level does entry 3 give? 13.891 states/eV/cell


Look up the density of states at the Fermi level of the sixth one. 11.536 states/eV/cell